[1]
{"formula": "CsScVF6", "functional": "PBE with a Hubbard U", "state": "optimized geometry", "sg": "Imma", "dft_energy_ev_per_atom": -6.197, "cell": [[7.7939, 0.0000, 0.0000], [0.0000, 7.6604, 0.0000], [-3.8969, -3.8302, 5.4496]], "species": ["F", "F", "F", "F", "F", "F", "F", "F", "F", "F", "F", "F", "V", "V", "Cs", "Cs", "Sc", "Sc"], "frac_coords": [[0.8258, 0.0663, 0.2536], [0.8258, 0.6872, 0.2536], [0.5723, 0.9337, 0.7464], [0.4277, 0.0663, 0.2536], [0.8114, 0.0614, 0.6227], [0.1742, 0.9337, 0.7464], [0.4215, 0.6715, 0.8429], [0.5785, 0.3285, 0.1571], [0.5723, 0.3128, 0.7464], [0.1742, 0.3128, 0.7464], [0.4277, 0.6872, 0.2536], [0.1886, 0.9386, 0.3773], [0.5000, 0.5000, 0.0000], [0.5000, 0.0000, 0.0000], [0.1403, 0.3903, 0.2806], [0.8597, 0.6097, 0.7194], [0.0000, 0.0000, 0.5000], [0.5000, 0.0000, 0.5000]]}

=====

[2]
{"formula": "Cs2ScV3F12", "functional": "PBE with a Hubbard U", "state": "optimized geometry", "sg": "R-3m", "dft_energy_ev_per_atom": -6.037, "cell": [[-4.8630, -4.2239, 4.2011], [2.4824, -6.1341, 3.9178], [0.3218, 0.0981, 7.6828]], "species": ["F", "F", "F", "F", "F", "F", "F", "F", "F", "F", "F", "F", "Cs", "Cs", "Sc", "V", "V", "V"], "frac_coords": [[0.3157, 0.9318, 0.9318], [0.0682, 0.0682, 0.6843], [0.9335, 0.3202, 0.3202], [0.6798, 0.6798, 0.0665], [0.0665, 0.6798, 0.6798], [0.6843, 0.0682, 0.0682], [0.6798, 0.0665, 0.6798], [0.9318, 0.3157, 0.9318], [0.3202, 0.3202, 0.9335], [0.3202, 0.9335, 0.3202], [0.0682, 0.6843, 0.0682], [0.9318, 0.9318, 0.3157], [0.6215, 0.6215, 0.6215], [0.3785, 0.3785, 0.3785], [0.0000, 0.0000, 0.0000], [0.0000, 0.0000, 0.5000], [0.5000, 0.0000, 0.0000], [0.0000, 0.5000, 0.0000]]}